Here is a relaxed LiSb2P crystal from the Alexandria database. Energies are from GGA-PBE.

## Properties
V   21.01 Å³/atom
Formation energy without anion corrections   8 kJ/mol of atoms
DOS at the Fermi energy   1.5 states/eV/cell
Raw total energy   -3.8128 eV per atom

The structure in extended XYZ format:
```
4
Lattice="-3.001 0.616 -3.748 -3.661 -1.744 2.644 -0.751 3.314 1.146" Properties=species:S:1:pos:R:3 pbc="T T T"
Li -1.876 1.965 -1.301
P -2.206 0.785 1.895
Sb 0.000 0.000 0.000
Sb -3.331 -0.564 -0.552
```

=====

Here is a relaxed I crystal from the Alexandria database. Energies are from GGA-PBE.

## Properties
V   52.85 Å³/atom
Formation energy without anion corrections   13 kJ/mol of atoms
DOS at the Fermi energy   1.5 states/eV/cell
Energy above the most stable polymorph in this dataset   0.1304 eV per atom
Raw total energy   -1.4197 eV per atom

The structure in extended XYZ format:
```
4
Lattice="4.754 0.000 0.000 -2.377 4.117 0.000 0.000 0.000 10.801" Properties=species:S:1:pos:R:3 pbc="T T T"
I 0.000 2.745 1.333
I 2.377 1.372 6.734
I 2.377 1.372 9.468
I 0.000 2.745 4.068
```

=====

Here is a relaxed LiHfHg3 crystal from the Alexandria database. Energies are from GGA-PBE.

## Properties
V   34.21 Å³/atom
DOS at the Fermi energy   6.2 states/eV/cell
Energy of formation   0.44 eV/atom
Energy above the most stable polymorph in this dataset   0.1445 eV per atom
Raw total energy   -2.1096 eV per atom

The structure in extended XYZ format:
```
5
Lattice="-4.747 -2.539 -1.357 1.952 -0.917 -5.115 2.115 -4.851 1.677" Properties=species:S:1:pos:R:3 pbc="T T T"
Hf 0.000 0.000 0.000
Hg 0.976 -0.458 -2.558
Hg 1.058 -2.425 0.838
Hg -2.373 -1.269 -0.678
Li -0.340 -4.153 -2.398
```

=====

Here is a relaxed Hf2VCd crystal from the Alexandria database. Energies are from GGA-PBE.

## Properties
V   19.87 Å³/atom
DOS at the Fermi energy   4.7 states/eV/cell
Energy of formation   0.04 eV/atom
Raw total energy   -7.4494 eV per atom

The structure in extended XYZ format:
```
4
Lattice="3.284 0.000 0.000 0.000 3.284 0.000 0.000 0.000 7.374" Properties=species:S:1:pos:R:3 pbc="T T T"
V 1.642 1.642 0.000
Hf 0.000 0.000 5.761
Hf 0.000 0.000 1.613
Cd 1.642 1.642 3.687
```

=====

Here is a relaxed BHBr2 crystal from the Alexandria database. Energies are from GGA-PBE.

## Properties
V   23.14 Å³/atom
DOS at the Fermi energy   0.0 states/eV/cell
Energy above the most stable polymorph in this dataset   1.0712 eV per atom
Raw total energy   -2.5738 eV per atom

The structure in extended XYZ format:
```
4
Lattice="2.354 0.000 6.427 -1.177 2.039 6.427 -1.177 -2.039 6.427" Properties=species:S:1:pos:R:3 pbc="T T T"
H 0.000 0.000 0.000
B 0.000 0.000 9.641
Br 0.000 0.000 17.570
Br 0.000 0.000 1.712
```

=====

Here is a relaxed PrDyTlPb crystal from the Alexandria database. Energies are from GGA-PBE.

## Properties
V   29.39 Å³/atom
DOS at the Fermi energy   2.5 states/eV/cell
Energy of formation   -0.39 eV/atom
Energy above the most stable polymorph in this dataset   0.0352 eV per atom
Raw total energy   -4.2542 eV per atom

The structure in extended XYZ format:
```
4
Lattice="5.499 0.000 0.000 2.749 4.762 0.000 2.749 1.587 4.490" Properties=species:S:1:pos:R:3 pbc="T T T"
Pb 5.499 3.175 2.245
Pr 8.248 4.762 3.367
Tl 0.000 0.000 0.000
Dy 2.749 1.587 1.122
```

=====

| no. | total magnetization (μB per atom) |
| --- | --- |
| 1 | 0.00 |
| 2 | 0.00 |
| 3 | 0.13 |
| 4 | 0.29 |
| 5 | 0.00 |
| 6 | 0.00 |